Model P:
Er4TmHg after structural relaxation. Source: Alexandria via LeMat-Bulk, functional PBE-GGA.

Structure (POSCAR):
```
Er4TmHg
1.0
3.5237 0.0000 0.0000
0.0000 3.5237 0.0000
0.0000 0.0000 13.9178
Er Tm Hg
4 1 1
Direct
0.5000 0.5000 0.1761 Er
0.0000 0.0000 0.6451 Er
0.0000 0.0000 0.3549 Er
0.5000 0.5000 0.8239 Er
0.0000 0.0000 0.0000 Tm
0.5000 0.5000 0.5000 Hg
```


Model Q:
Er4TmHg after structural relaxation. Source: Alexandria via LeMat-Bulk, functional PBE-GGA.

Structure (POSCAR):
```
Er4TmHg
1.0
-4.8559 -3.1236 2.4714
-0.2908 0.5260 -8.8516
6.1225 -4.5876 2.7237
Er Tm Hg
8 2 2
Direct
0.0396 0.1632 0.7595 Er
0.7554 0.7124 0.6220 Er
0.2198 0.5963 0.7595 Er
0.3666 0.9096 0.6220 Er
0.6334 0.0904 0.3780 Er
0.7802 0.4037 0.2405 Er
0.2446 0.2876 0.3780 Er
0.9604 0.8368 0.2405 Er
0.3432 0.5932 0.1863 Tm
0.6568 0.4068 0.8137 Tm
0.2504 0.0004 0.0008 Hg
0.7496 0.9996 0.9992 Hg
```


Of them, model P has the highest stability.